Record 1
Here is a relaxed structure of ZnCo2NiN from Alexandria. Energies are from PBE.

Output
Crystal system: tetragonal
E_form (uncorrected), meV per atom: -105
Density, kg/m³: 8058
VASP energy, eV per cell: -30.117
M_tot, μB per formula unit: 1.89

Geometry as extended XYZ:
```
5
Lattice="3.728 0.000 0.000 0.000 3.728 0.000 0.000 0.000 3.796" Properties=species:S:1:pos:R:3 pbc="T T T"
Zn 0.000 0.000 0.000
Co 0.000 1.864 1.898
Co 1.864 0.000 1.898
Ni 1.864 1.864 0.000
N 1.864 1.864 1.898
```


Record 2
Here is a relaxed structure of ZnCoNi2N from Alexandria. Energies are from PBE.

Output
Crystal system: tetragonal
E_form (uncorrected), meV per atom: -130
Density, kg/m³: 7999
VASP energy, eV per cell: -28.919
M_tot, μB per formula unit: 1.32

Geometry as extended XYZ:
```
5
Lattice="3.785 0.000 0.000 0.000 3.785 0.000 0.000 0.000 3.705" Properties=species:S:1:pos:R:3 pbc="T T T"
Zn 0.000 0.000 0.000
Co 1.893 1.893 0.000
Ni 0.000 1.893 1.852
Ni 1.893 0.000 1.852
N 1.893 1.893 1.852
```


Record 3
Here is a relaxed structure of NpCoN from Alexandria. Energies are from PBE.

Output
Crystal system: tetragonal
E_form (uncorrected), meV per atom: 68
Density, kg/m³: 11814
VASP energy, eV per cell: -28.167
M_tot, μB per formula unit: 2.77

Geometry as extended XYZ:
```
3
Lattice="-1.892 1.892 3.044 1.892 -1.892 3.044 1.892 1.892 -3.044" Properties=species:S:1:pos:R:3 pbc="T T T"
Np 0.000 0.000 0.000
Co 0.000 0.000 2.226
N 0.000 0.000 4.045
```


Record 4
Here is a relaxed structure of NpCoN from Alexandria. Energies are from PBE.

Output
Crystal system: trigonal
E_form (uncorrected), meV per atom: -417
Density, kg/m³: 10830
VASP energy, eV per cell: -59.244
M_tot, μB per formula unit: 1.98

Geometry as extended XYZ:
```
6
Lattice="1.887 1.089 7.706 -1.887 1.089 7.706 0.000 -2.179 7.706" Properties=species:S:1:pos:R:3 pbc="T T T"
Np 0.000 0.000 5.254
Np 0.000 0.000 17.863
Co 0.000 0.000 7.933
Co 0.000 0.000 15.184
N 0.000 0.000 3.000
N 0.000 0.000 20.117
```


Question: Look up the M_tot of the second one.
Answer: 1.32 μB per formula unit